# 1
The following is a DFT calculation (PBE-GGA) of a geometry-optimized KTlBi2 structure.

Output
Space group: No. 123
Distance to the lowest polymorph of the same formula, eV/atom: 0.055
Crystal system: tetragonal
Energy of formation, eV/atom: -0.13

Cell lengths 3.488, 3.488, 11.102 Å; angles 90.00, 90.00, 90.00 degrees
Fractional coordinates of all 4 atoms:
K1 0.000 0.000 0.000
Tl1 0.000 0.000 0.500
Bi1 0.500 0.500 0.259
Bi2 0.500 0.500 0.741

***

# 2
The following is a DFT calculation (PBE-GGA) of a geometry-optimized KTl3Bi2 structure.

Output
Space group: No. 63
Distance to the lowest polymorph of the same formula, eV/atom: 0.042
Crystal system: orthorhombic
Energy of formation, eV/atom: -0.09

Cell lengths 8.214, 8.214, 6.592 Å; angles 90.00, 90.00, 80.76 degrees
Fractional coordinates of all 12 atoms:
K1 0.142 0.858 0.750
K2 0.858 0.142 0.250
Tl1 0.105 0.605 0.250
Tl2 0.395 0.895 0.250
Tl3 0.482 0.518 0.750
Tl4 0.518 0.482 0.250
Tl5 0.605 0.105 0.750
Tl6 0.895 0.395 0.750
Bi1 0.243 0.243 0.000
Bi2 0.243 0.243 0.500
Bi3 0.757 0.757 0.000
Bi4 0.757 0.757 0.500

***

# 3
The following is a DFT calculation (PBE-GGA) of a geometry-optimized K6TlBi2 structure.

Output
Space group: No. 166
Crystal system: trigonal
Energy of formation, eV/atom: -0.26

Cell lengths 13.085, 13.085, 13.085 Å; angles 27.08, 27.08, 27.08 degrees
Fractional coordinates of all 9 atoms:
K1 0.079 0.079 0.079
K2 0.207 0.207 0.207
K3 0.309 0.309 0.309
K4 0.691 0.691 0.691
K5 0.793 0.793 0.793
K6 0.921 0.921 0.921
Tl1 0.500 0.500 0.500
Bi1 0.408 0.408 0.408
Bi2 0.592 0.592 0.592

***

# 4
The following is a DFT calculation (PBE-GGA) of a geometry-optimized KTl8Bi2 structure.

Output
Space group: No. 123
Crystal system: tetragonal
Energy of formation, eV/atom: 0.04

Cell lengths 6.869, 6.869, 9.975 Å; angles 90.00, 90.00, 90.00 degrees
Fractional coordinates of all 11 atoms:
K1 0.000 0.000 0.000
Tl1 0.254 0.254 0.280
Tl2 0.254 0.254 0.720
Tl3 0.254 0.746 0.280
Tl4 0.254 0.746 0.720
Tl5 0.746 0.254 0.280
Tl6 0.746 0.254 0.720
Tl7 0.746 0.746 0.280
Tl8 0.746 0.746 0.720
Bi1 0.000 0.500 0.500
Bi2 0.500 0.000 0.500

***

# 5
The following is a DFT calculation (PBE-GGA) of a geometry-optimized K2TlBi2 structure.

Output
Space group: No. 15
Distance to the lowest polymorph of the same formula, eV/atom: 0.000
Crystal system: monoclinic
Energy of formation, eV/atom: -0.28

Cell lengths 7.073, 7.073, 9.706 Å; angles 101.55, 101.55, 60.31 degrees
Fractional coordinates of all 10 atoms:
K1 0.009 0.284 0.144
K2 0.284 0.009 0.644
K3 0.716 0.991 0.356
K4 0.991 0.716 0.856
Tl1 0.408 0.592 0.250
Tl2 0.592 0.408 0.750
Bi1 0.217 0.502 0.490
Bi2 0.498 0.783 0.010
Bi3 0.502 0.217 0.990
Bi4 0.783 0.498 0.510

***

# 6
The following is a DFT calculation (PBE-GGA) of a geometry-optimized KTl4Bi2 structure.

Output
Space group: No. 71
Distance to the lowest polymorph of the same formula, eV/atom: 0.040
Crystal system: orthorhombic
Energy of formation, eV/atom: -0.07

Cell lengths 6.899, 6.899, 6.899 Å; angles 122.12, 103.78, 103.31 degrees
Fractional coordinates of all 7 atoms:
K1 0.000 0.000 0.000
Tl1 0.000 0.306 0.694
Tl2 0.000 0.694 0.306
Tl3 0.388 0.694 0.694
Tl4 0.612 0.306 0.306
Bi1 0.500 0.249 0.749
Bi2 0.500 0.751 0.251

***

# 7
The following is a DFT calculation (PBE-GGA) of a geometry-optimized K2TlBi2 structure.

Output
Space group: No. 127
Distance to the lowest polymorph of the same formula, eV/atom: 0.005
Crystal system: tetragonal
Energy of formation, eV/atom: -0.27

Cell lengths 8.359, 8.359, 5.718 Å; angles 90.00, 90.00, 90.00 degrees
Fractional coordinates of all 10 atoms:
K1 0.169 0.331 0.000
K2 0.331 0.831 0.000
K3 0.669 0.169 0.000
K4 0.831 0.669 0.000
Tl1 0.000 0.000 0.500
Tl2 0.500 0.500 0.500
Bi1 0.130 0.630 0.500
Bi2 0.370 0.130 0.500
Bi3 0.630 0.870 0.500
Bi4 0.870 0.370 0.500

***

# 8
The following is a DFT calculation (PBE-GGA) of a geometry-optimized K3Tl9Bi2 structure.

Output
Space group: No. 71
Crystal system: orthorhombic
Energy of formation, eV/atom: -0.10

Cell lengths 10.105, 10.105, 10.105 Å; angles 149.03, 106.79, 81.58 degrees
Fractional coordinates of all 14 atoms:
K1 0.000 0.000 0.000
K2 0.311 0.311 0.000
K3 0.689 0.689 0.000
Tl1 0.036 0.667 0.369
Tl2 0.140 0.865 0.275
Tl3 0.298 0.667 0.631
Tl4 0.410 0.135 0.275
Tl5 0.500 0.000 0.500
Tl6 0.590 0.865 0.725
Tl7 0.702 0.333 0.369
Tl8 0.860 0.135 0.725
Tl9 0.964 0.333 0.631
Bi1 0.298 0.500 0.798
Bi2 0.702 0.500 0.202

***

# 9
The following is a DFT calculation (PBE-GGA) of a geometry-optimized K2TlBi2 structure.

Output
Space group: No. 139
Distance to the lowest polymorph of the same formula, eV/atom: 0.240
Crystal system: tetragonal
Energy of formation, eV/atom: -0.04

Cell lengths 8.351, 8.351, 8.351 Å; angles 141.94, 141.94, 54.92 degrees
Fractional coordinates of all 5 atoms:
K1 0.250 0.750 0.500
K2 0.750 0.250 0.500
Tl1 0.000 0.000 0.000
Bi1 0.404 0.404 0.000
Bi2 0.596 0.596 0.000

***

# 10
The following is a DFT calculation (PBE-GGA) of a geometry-optimized KTl6Bi structure.

Output
Space group: No. 38
Distance to the lowest polymorph of the same formula, eV/atom: 0.000
Crystal system: orthorhombic
Energy of formation, eV/atom: -0.06

Cell lengths 5.503, 7.087, 7.087 Å; angles 70.18, 90.00, 90.00 degrees
Fractional coordinates of all 8 atoms:
K1 0.000 0.000 0.000
Tl1 0.000 0.075 0.486
Tl2 0.000 0.486 0.075
Tl3 0.500 0.205 0.205
Tl4 0.500 0.267 0.684
Tl5 0.500 0.684 0.267
Tl6 0.500 0.749 0.749
Bi1 0.000 0.564 0.564

***

# 11
The following is a DFT calculation (PBE-GGA) of a geometry-optimized K2Tl3Bi structure.

Output
Space group: No. 8
Crystal system: monoclinic
Energy of formation, eV/atom: -0.18

Cell lengths 6.868, 6.868, 8.785 Å; angles 129.58, 129.58, 48.01 degrees
Fractional coordinates of all 6 atoms:
K1 0.000 0.000 0.000
K2 0.112 0.112 0.592
Tl1 0.378 0.378 0.177
Tl2 0.407 0.407 0.561
Tl3 0.719 0.719 0.044
Bi1 0.715 0.715 0.408

***

# 12
The following is a DFT calculation (PBE-GGA) of a geometry-optimized KTl5Bi3 structure.

Output
Space group: No. 63
Crystal system: orthorhombic
Energy of formation, eV/atom: -0.06

Cell lengths 9.711, 9.711, 7.173 Å; angles 90.00, 90.00, 60.05 degrees
Fractional coordinates of all 18 atoms:
K1 0.000 0.000 0.000
K2 0.000 0.000 0.500
Tl1 0.000 0.328 0.750
Tl2 0.000 0.672 0.250
Tl3 0.328 0.000 0.250
Tl4 0.328 0.672 0.750
Tl5 0.333 0.333 0.000
Tl6 0.333 0.333 0.500
Tl7 0.667 0.667 0.000
Tl8 0.667 0.667 0.500
Tl9 0.672 0.000 0.750
Tl10 0.672 0.328 0.250
Bi1 0.000 0.346 0.250
Bi2 0.000 0.654 0.750
Bi3 0.346 0.000 0.750
Bi4 0.346 0.654 0.250
Bi5 0.654 0.000 0.250
Bi6 0.654 0.346 0.750

***

# 13
The following is a DFT calculation (PBE-GGA) of a geometry-optimized KTl9Bi2 structure.

Output
Space group: No. 123
Crystal system: tetragonal
Energy of formation, eV/atom: -0.06

Cell lengths 5.266, 5.266, 13.924 Å; angles 90.00, 90.00, 90.00 degrees
Fractional coordinates of all 12 atoms:
K1 0.000 0.000 0.000
Tl1 0.000 0.500 0.176
Tl2 0.000 0.500 0.500
Tl3 0.000 0.500 0.824
Tl4 0.500 0.000 0.176
Tl5 0.500 0.000 0.500
Tl6 0.500 0.000 0.824
Tl7 0.500 0.500 0.000
Tl8 0.500 0.500 0.337
Tl9 0.500 0.500 0.663
Bi1 0.000 0.000 0.326
Bi2 0.000 0.000 0.674

***

# 14
The following is a DFT calculation (PBE-GGA) of a geometry-optimized KTl8Bi4 structure.

Output
Space group: No. 139
Crystal system: tetragonal
Energy of formation, eV/atom: -0.04

Cell lengths 8.955, 8.955, 8.955 Å; angles 97.55, 97.55, 137.48 degrees
Fractional coordinates of all 13 atoms:
K1 0.000 0.000 0.000
Tl1 0.000 0.358 0.358
Tl2 0.000 0.642 0.642
Tl3 0.296 0.500 0.796
Tl4 0.358 0.000 0.358
Tl5 0.500 0.296 0.796
Tl6 0.500 0.704 0.204
Tl7 0.642 0.000 0.642
Tl8 0.704 0.500 0.204
Bi1 0.000 0.000 0.500
Bi2 0.000 0.500 0.000
Bi3 0.500 0.000 0.000
Bi4 0.500 0.500 0.500

***

# 15
The following is a DFT calculation (PBE-GGA) of a geometry-optimized KTl3Bi2 structure.

Output
Space group: No. 12
Distance to the lowest polymorph of the same formula, eV/atom: 0.000
Crystal system: monoclinic
Energy of formation, eV/atom: -0.13

Cell lengths 9.930, 9.930, 9.645 Å; angles 119.04, 119.04, 32.10 degrees
Fractional coordinates of all 12 atoms:
K1 0.133 0.133 0.133
K2 0.867 0.867 0.867
Tl1 0.000 0.000 0.336
Tl2 0.000 0.000 0.664
Tl3 0.320 0.320 0.115
Tl4 0.320 0.320 0.524
Tl5 0.680 0.680 0.476
Tl6 0.680 0.680 0.885
Bi1 0.200 0.200 0.700
Bi2 0.500 0.500 0.159
Bi3 0.500 0.500 0.841
Bi4 0.800 0.800 0.300

***

# 16
The following is a DFT calculation (PBE-GGA) of a geometry-optimized K5Tl6Bi structure.

Output
Space group: No. 12
Crystal system: monoclinic
Energy of formation, eV/atom: -0.06

Cell lengths 6.866, 6.866, 11.891 Å; angles 96.40, 96.40, 124.23 degrees
Fractional coordinates of all 12 atoms:
K1 0.000 0.000 0.000
K2 0.163 0.837 0.500
K3 0.327 0.673 0.000
K4 0.673 0.327 0.000
K5 0.837 0.163 0.500
Tl1 0.121 0.422 0.259
Tl2 0.295 0.295 0.748
Tl3 0.422 0.121 0.259
Tl4 0.578 0.879 0.741
Tl5 0.705 0.705 0.252
Tl6 0.879 0.578 0.741
Bi1 0.500 0.500 0.500

***

# 17
The following is a DFT calculation (PBE-GGA) of a geometry-optimized K5TlBi2 structure.

Output
Space group: No. 166
Crystal system: trigonal
Energy of formation, eV/atom: -0.26

Cell lengths 11.453, 11.453, 11.453 Å; angles 31.10, 31.10, 31.10 degrees
Fractional coordinates of all 8 atoms:
K1 0.000 0.000 0.000
K2 0.121 0.121 0.121
K3 0.282 0.282 0.282
K4 0.718 0.718 0.718
K5 0.879 0.879 0.879
Tl1 0.500 0.500 0.500
Bi1 0.403 0.403 0.403
Bi2 0.597 0.597 0.597

***

# 18
The following is a DFT calculation (PBE-GGA) of a geometry-optimized KTl3Bi structure.

Output
Space group: No. 221
Distance to the lowest polymorph of the same formula, eV/atom: 0.727
Crystal system: cubic
Energy of formation, eV/atom: 0.61

Cell lengths 5.999, 5.999, 5.999 Å; angles 90.00, 90.00, 90.00 degrees
Fractional coordinates of all 5 atoms:
K1 0.000 0.000 0.000
Tl1 0.000 0.000 0.500
Tl2 0.000 0.500 0.000
Tl3 0.500 0.000 0.000
Bi1 0.500 0.500 0.500

***

# 19
The following is a DFT calculation (PBE-GGA) of a geometry-optimized K2TlBi structure.

Output
Space group: No. 166
Crystal system: trigonal
Energy of formation, eV/atom: 0.09

Cell lengths 13.032, 13.032, 13.032 Å; angles 16.55, 16.55, 16.55 degrees
Fractional coordinates of all 4 atoms:
K1 0.088 0.088 0.088
K2 0.912 0.912 0.912
Tl1 0.500 0.500 0.500
Bi1 0.000 0.000 0.000

***

# 20
The following is a DFT calculation (PBE-GGA) of a geometry-optimized K2TlZnBi2 structure.

Output
Space group: No. 72
Crystal system: orthorhombic
Energy of formation, eV/atom: -0.26

Cell lengths 9.649, 9.649, 9.649 Å; angles 135.56, 64.21, 136.15 degrees
Fractional coordinates of all 12 atoms:
K1 0.165 0.235 0.400
K2 0.335 0.735 0.070
K3 0.665 0.265 0.930
K4 0.835 0.765 0.600
Tl1 0.250 0.250 0.000
Tl2 0.750 0.750 0.000
Zn1 0.250 0.750 0.500
Zn2 0.750 0.250 0.500
Bi1 0.103 0.714 0.818
Bi2 0.397 0.214 0.611
Bi3 0.603 0.786 0.389
Bi4 0.897 0.286 0.182